Entry 1:
DFT (GGA-PBE) results for KBa2TlF after structural relaxation.

Values from the calculation:
* crystal system: tetragonal
* volume: 35.0 Å³/atom
* DFT total energy: -15.162 eV per cell
* total moment: 0.00 μB/f.u.
* formation energy from raw total energies: -1.20 eV/atom

Cell lengths 5.782, 5.782, 5.231 Å; angles 90.00, 90.00, 90.00 degrees
Space group P4/mmm (No. 123)
Asymmetric unit:
K 0.000 0.000 0.000
Ba 0.000 0.500 0.500
Tl 0.500 0.500 0.000
F 0.000 0.000 0.500

***

Entry 2:
DFT (GGA-PBE) results for KBaTmF6 after structural relaxation.

Values from the calculation:
* crystal system: trigonal
* volume: 20.5 Å³/atom
* DFT total energy: -105.066 eV per cell
* total moment: 0.17 μB/f.u.
* formation energy from raw total energies: -3.76 eV/atom

Cell lengths 6.3687, 6.3687, 10.5039 Å; angles 90.00, 90.00, 120.00 degrees
Space group P-31c (No. 163)
Asymmetric unit:
K 0.3333 0.6667 0.2500
Ba 0.0000 0.0000 0.0000
Tm 0.3333 0.6667 0.7500
F 0.0596 0.3753 0.6372

***

Entry 3:
DFT (GGA-PBE) results for K2BaTmF8 after structural relaxation.

Values from the calculation:
* crystal system: tetragonal
* volume: 18.0 Å³/atom
* DFT total energy: -125.950 eV per cell
* total moment: 1.14 μB/f.u.
* formation energy from raw total energies: -3.28 eV/atom

Cell lengths 6.067, 6.067, 11.733 Å; angles 90.00, 90.00, 90.00 degrees
Space group I-4m2 (No. 119)
Asymmetric unit:
K 0.000 0.000 0.000
K 0.000 0.500 0.250
Ba 0.000 0.000 0.500
Tm 0.000 0.500 0.750
F 0.214 0.281 0.638

***

Entry 4:
DFT (GGA-PBE) results for K2BaUF8 after structural relaxation.

Values from the calculation:
* crystal system: tetragonal
* volume: 18.4 Å³/atom
* DFT total energy: -143.954 eV per cell
* total moment: 2.00 μB/f.u.
* formation energy from raw total energies: -3.47 eV/atom

Cell lengths 6.088, 6.088, 11.885 Å; angles 90.00, 90.00, 90.00 degrees
Space group I-4m2 (No. 119)
Asymmetric unit:
K 0.000 0.000 0.000
K 0.000 0.500 0.250
Ba 0.000 0.000 0.500
U 0.000 0.500 0.750
F 0.217 0.278 0.637

***

Please write out number 3 again, unchanged.
DFT (GGA-PBE) results for K2BaTmF8 after structural relaxation.

Values from the calculation:
* crystal system: tetragonal
* volume: 18.0 Å³/atom
* DFT total energy: -125.950 eV per cell
* total moment: 1.14 μB/f.u.
* formation energy from raw total energies: -3.28 eV/atom

Cell lengths 6.067, 6.067, 11.733 Å; angles 90.00, 90.00, 90.00 degrees
Space group I-4m2 (No. 119)
Asymmetric unit:
K 0.000 0.000 0.000
K 0.000 0.500 0.250
Ba 0.000 0.000 0.500
Tm 0.000 0.500 0.750
F 0.214 0.281 0.638

***

Question: The highest total moment belongs to which entry?
Answer: K2BaUF8

***

Repeat the first record exactly.
DFT (GGA-PBE) results for KBa2TlF after structural relaxation.

Values from the calculation:
* crystal system: tetragonal
* volume: 35.0 Å³/atom
* DFT total energy: -15.162 eV per cell
* total moment: 0.00 μB/f.u.
* formation energy from raw total energies: -1.20 eV/atom

Cell lengths 5.782, 5.782, 5.231 Å; angles 90.00, 90.00, 90.00 degrees
Space group P4/mmm (No. 123)
Asymmetric unit:
K 0.000 0.000 0.000
Ba 0.000 0.500 0.500
Tl 0.500 0.500 0.000
F 0.000 0.000 0.500